DFT (SCAN) results for a crystal of CrWO3 relaxed with PBEsol.

```
CrWO3
1.0
3.7120 0.0000 0.0000
0.0000 3.7120 0.0000
0.0000 0.0000 3.7120
Cr W O
1 1 3
Cartesian
0.0000 0.0000 0.0000 Cr
1.8560 1.8560 1.8560 W
0.0000 0.0000 1.8560 O
0.0000 1.8560 0.0000 O
1.8560 0.0000 0.0000 O
```

Summary:
Raw formation energy ... -0.70 eV/atom
Magnetization ... 5.99 μB per formula unit
Fermi-level density of states ... 0.53 states/eV per atom
Symmetry ... Pm-3m, No. 221



DFT (SCAN) results for a crystal of CrWO3 relaxed with PBEsol.

```
CrWO3
1.0
3.8885 0.0000 0.0000
0.0000 3.8885 0.0000
0.0000 0.0000 3.8885
Cr W O
1 1 3
Cartesian
0.0000 0.0000 0.0000 Cr
1.9443 1.9443 1.9443 W
0.0000 1.9443 1.9443 O
1.9443 0.0000 1.9443 O
1.9443 1.9443 0.0000 O
```

Summary:
Raw formation energy ... -1.52 eV/atom
Magnetization ... 4.79 μB per formula unit
Fermi-level density of states ... 0.80 states/eV per atom
Symmetry ... Pm-3m, No. 221



DFT (SCAN) results for a crystal of YCrW2O8 relaxed with PBEsol.

```
YCrW2O8
1.0
5.0473 0.0000 0.0000
0.0000 5.5798 0.0000
-4.4404 0.0000 9.7007
Y Cr W O
2 2 4 16
Cartesian
-1.1101 0.9113 2.4252 Y
-3.3303 4.6685 7.2756 Y
-0.8067 0.8546 7.2756 Cr
1.4135 4.7252 2.4252 Cr
-3.3083 1.9961 9.6184 W
-1.0881 3.5837 4.7680 W
1.6949 1.9961 4.9327 W
3.9151 3.5837 0.0824 W
-1.7383 2.0954 6.0762 O
0.4819 3.4844 1.2258 O
0.7329 0.6764 1.1855 O
-1.4873 4.9033 6.0359 O
-2.4357 0.8259 8.3516 O
-0.2155 4.7539 3.5012 O
-0.1257 2.1351 3.9416 O
-2.3459 3.4447 8.7920 O
2.9527 2.1351 0.9088 O
0.7325 3.4447 5.7591 O
0.8223 0.8259 6.1995 O
3.0426 4.7539 1.3491 O
2.0941 0.6764 3.6649 O
-0.1261 4.9033 8.5152 O
0.1249 2.0954 8.4750 O
2.3452 3.4844 3.6246 O
```

Summary:
Raw formation energy ... -2.58 eV/atom
Magnetization ... 2.98 μB per formula unit
Symmetry ... P2/c, No. 13



DFT (SCAN) results for a crystal of YCrO4 relaxed with PBEsol.

```
YCrO4
1.0
-2.4909 2.4909 5.5706
2.4909 -2.4909 5.5706
2.4909 2.4909 -5.5706
Y Cr O
2 2 8
Cartesian
0.0000 1.2454 1.3926 Y
2.4909 1.2454 4.1779 Y
2.4909 1.2454 -1.3926 Cr
0.0000 1.2454 6.9632 Cr
3.7720 0.5334 -0.5156 O
3.2029 0.0357 2.2697 O
0.7120 0.0357 3.3009 O
1.2098 1.9575 -0.5156 O
1.2811 0.5334 6.0862 O
1.7788 2.4552 2.2697 O
-0.7120 2.4552 3.3009 O
-1.2811 1.9575 6.0862 O
```

Summary:
Raw formation energy ... -2.89 eV/atom
Magnetization ... 1.00 μB per formula unit
Fermi-level density of states ... 0.22 states/eV per atom
Symmetry ... I4_1/a, No. 88



DFT (SCAN) results for a crystal of ZnCr2O7 relaxed with PBEsol.

```
ZnCr2O7
1.0
6.0364 0.0000 0.0000
0.0000 7.7584 0.0000
-1.9173 0.0000 7.0894
Zn Cr O
2 4 14
Cartesian
-0.2396 0.0000 1.0055 Zn
4.3587 3.8792 6.0839 Zn
-0.1887 3.3228 2.2302 Cr
1.3349 3.7519 5.0264 Cr
2.7842 7.6311 2.0630 Cr
4.3078 7.2020 4.8593 Cr
-0.2934 1.7449 1.8264 O
-0.0017 4.2409 0.8780 O
-0.4190 7.6470 4.0900 O
0.0259 3.0639 5.7563 O
1.3913 6.9087 1.5587 O
1.1776 3.5614 3.2950 O
1.3826 5.2932 5.3501 O
2.7365 1.4140 1.7393 O
2.9416 7.4406 3.7944 O
2.7279 3.0295 5.5307 O
4.0933 6.9431 1.3331 O
4.5381 3.7678 2.9995 O
4.1208 0.3617 6.2114 O
4.4126 5.6241 5.2630 O
```

Summary:
Raw formation energy ... -1.70 eV/atom
Magnetization ... 0.00 μB per formula unit
Fermi-level density of states ... 0.00 states/eV per atom
Symmetry ... P2_1, No. 4



DFT (SCAN) results for a crystal of Zr3CrO relaxed with PBEsol.

```
Zr3CrO
1.0
4.3934 0.0000 0.0000
0.0000 4.3934 0.0000
0.0000 0.0000 4.3934
Zr Cr O
3 1 1
Cartesian
0.0000 0.0000 2.1967 Zr
0.0000 2.1967 0.0000 Zr
2.1967 0.0000 0.0000 Zr
2.1967 2.1967 2.1967 Cr
0.0000 0.0000 0.0000 O
```

Summary:
Raw formation energy ... -1.10 eV/atom
Magnetization ... 2.88 μB per formula unit
Fermi-level density of states ... 0.77 states/eV per atom
Symmetry ... Pm-3m, No. 221



DFT (SCAN) results for a crystal of ZrCrO2 relaxed with PBEsol.

```
ZrCrO2
1.0
1.7160 0.9907 5.4957
-1.7160 0.9907 5.4957
0.0000 -1.9815 5.4957
Zr Cr O
1 1 2
Cartesian
0.0000 0.0000 0.0000 Zr
0.0000 0.0000 8.2435 Cr
0.0000 0.0000 6.3150 O
0.0000 0.0000 10.1720 O
```

Summary:
Raw formation energy ... -2.44 eV/atom
Magnetization ... 3.76 μB per formula unit
Fermi-level density of states ... 0.18 states/eV per atom
Symmetry ... R-3m, No. 166



DFT (SCAN) results for a crystal of CrOs2 relaxed with PBEsol.

```
CrOs2
1.0
4.0194 0.0000 0.0000
0.0000 4.0194 0.0000
0.0000 0.0000 2.7887
Cr Os
1 2
Cartesian
0.0000 0.0000 0.0000 Cr
0.0000 2.0097 1.3943 Os
2.0097 0.0000 1.3943 Os
```

Summary:
Magnetization ... 0.00 μB per formula unit
DFT formation energy ... 0.873 eV per atom
Fermi-level density of states ... 1.00 states/eV per atom
Symmetry ... P4/mmm, No. 123